[1]
Tc2PbSe: relaxed, PBE.

Structure (extended XYZ):
```
4
Lattice="2.996 0.000 0.000 0.000 2.996 0.000 0.000 0.000 9.160" Properties=species:S:1:pos:R:3 pbc="T T T"
Pb 0.000 0.000 4.037
Tc 0.000 0.000 0.098
Tc 1.498 1.498 1.829
Se 1.498 1.498 7.775
```

Results
Polymorph energy (0 for the lowest one) = 0 meV/atom



[2]
Ho3In4Rh4: relaxed, PBE.

Structure (extended XYZ):
```
11
Lattice="3.646 0.000 0.000 0.000 8.090 0.000 -1.823 -4.045 7.850" Properties=species:S:1:pos:R:3 pbc="T T T"
Rh 1.823 6.419 0.000
Rh 1.823 1.672 0.000
Rh 0.000 4.045 3.913
Rh 1.823 0.000 3.937
Ho 1.823 4.045 6.181
Ho 0.000 0.000 1.669
Ho 0.000 4.045 0.000
In 1.823 5.599 2.615
In 1.823 2.492 2.615
In 0.000 -1.553 5.235
In 0.000 1.553 5.235
```

Results
Calculated formation energy = -0.61 eV/atom



[3]
SrSm2Tl9: relaxed, PBE.

Structure (extended XYZ):
```
12
Lattice="4.863 0.000 0.000 0.000 4.863 0.000 0.000 0.000 14.609" Properties=species:S:1:pos:R:3 pbc="T T T"
Sm 0.000 0.000 4.981
Sm 0.000 0.000 9.628
Tl 0.000 2.432 7.305
Tl 2.432 0.000 12.066
Tl 2.432 0.000 7.305
Tl 2.432 2.432 4.884
Tl 2.432 2.432 9.726
Tl 2.432 0.000 2.543
Tl 0.000 2.432 12.066
Tl 0.000 2.432 2.543
Tl 2.432 2.432 0.000
Sr 0.000 0.000 0.000
```

Results
Calculated formation energy = -0.28 eV/atom



[4]
LiNd3Ga3: relaxed, PBE.

Structure (extended XYZ):
```
14
Lattice="-4.443 -0.379 -1.083 -1.270 -5.034 -2.752 -4.708 -6.275 11.796" Properties=species:S:1:pos:R:3 pbc="T T T"
Nd -6.477 -7.363 9.712
Nd -2.516 -2.916 1.620
Nd -3.944 -4.325 -1.751
Nd -4.712 -6.166 2.048
Nd -7.905 -8.772 6.341
Nd -5.709 -5.522 5.914
Ga -7.360 -7.300 3.587
Ga -5.926 -10.147 8.424
Ga -6.419 -6.105 -0.695
Ga -4.002 -5.583 8.656
Ga -4.495 -1.541 -0.463
Ga -3.061 -4.389 4.375
Li -5.065 -8.402 4.281
Li -5.356 -3.286 3.681
```

Results
Calculated formation energy = -0.49 eV/atom



[5]
AgSnTeN2: relaxed, PBE.

Structure (extended XYZ):
```
5
Lattice="4.169 0.000 0.000 0.000 4.169 0.000 0.000 0.000 6.228" Properties=species:S:1:pos:R:3 pbc="T T T"
Ag 2.084 2.084 3.114
Te 0.000 0.000 3.114
N 2.084 0.000 0.000
N 0.000 2.084 0.000
Sn 0.000 0.000 0.000
```

Results
Polymorph energy (0 for the lowest one) = 0 meV/atom



[6]
Nd4DyEr8: relaxed, PBE.

Structure (extended XYZ):
```
13
Lattice="-5.909 -9.229 0.970 10.970 -0.534 -0.646 0.560 6.623 4.035" Properties=species:S:1:pos:R:3 pbc="T T T"
Er -3.136 -7.765 1.782
Er 5.690 -0.164 3.082
Er -0.070 -2.976 1.278
Er 3.064 4.902 2.913
Er 0.200 0.211 3.220
Er 2.556 -8.042 1.447
Er 8.756 4.624 2.578
Er 5.421 -3.351 1.139
Nd 2.530 -4.882 0.162
Nd -2.954 -4.615 0.485
Nd 0.000 0.000 0.000
Nd 5.485 -0.267 -0.323
Dy 5.765 3.044 1.695
```

Results
Calculated formation energy = 0.52 eV/atom



[7]
Ca2ZnHg: relaxed, PBE.

Structure (extended XYZ):
```
4
Lattice="-1.515 8.191 0.749 -5.147 6.373 1.684 -2.156 6.662 4.573" Properties=species:S:1:pos:R:3 pbc="T T T"
Ca -4.386 10.557 3.485
Ca -0.023 0.056 0.019
Zn -6.614 15.919 5.255
Hg -2.205 5.306 1.752
```

Results
Polymorph energy (0 for the lowest one) = 153 meV/atom
Calculated formation energy = -0.24 eV/atom



[8]
PmPr6DyY2: relaxed, PBE.

Structure (extended XYZ):
```
20
Lattice="-2.971 3.051 8.757 1.761 -8.397 2.860 6.932 5.799 -0.332" Properties=species:S:1:pos:R:3 pbc="T T T"
Pr 1.466 3.198 8.397
Pr 0.410 -3.208 10.726
Pr 3.827 -4.823 5.427
Pr 4.257 -2.745 2.888
Pr 5.204 4.561 8.038
Pr 5.264 4.513 4.268
Pr 0.458 -4.060 7.018
Pr 1.816 -1.444 4.719
Pr 1.895 5.276 5.859
Pr 5.312 3.661 0.560
Pr 3.906 1.897 6.566
Pr 0.518 -4.108 3.247
Y 3.979 1.606 10.097
Y 0.741 1.700 5.268
Y 1.743 -1.153 1.188
Y 4.981 -1.247 6.017
Dy 1.182 -7.186 4.949
Dy 4.541 7.639 6.337
Pm 1.645 -0.310 8.124
Pm 4.077 0.763 3.161
```

Results
Calculated formation energy = 0.11 eV/atom



[9]
FePAuCl2: relaxed, PBE.

Structure (extended XYZ):
```
5
Lattice="5.021 0.000 0.000 0.000 5.021 0.000 0.000 0.000 4.845" Properties=species:S:1:pos:R:3 pbc="T T T"
Fe 2.510 2.510 2.422
Cl 2.510 0.000 0.000
Cl 0.000 2.510 0.000
Au 0.000 0.000 0.000
P 0.000 0.000 2.422
```

Results
Polymorph energy (0 for the lowest one) = 538 meV/atom



[10]
CrSb2RuI: relaxed, PBE.

Structure (extended XYZ):
```
5
Lattice="-4.213 2.519 -1.096 0.850 -0.713 -4.906 -3.012 -4.951 0.198" Properties=species:S:1:pos:R:3 pbc="T T T"
Sb -2.107 1.260 -0.548
Sb 0.425 -0.357 -2.453
I -1.506 -2.476 0.099
Cr -3.188 -1.573 -2.902
Ru 0.000 0.000 0.000
```

Results
Polymorph energy (0 for the lowest one) = 0 meV/atom



[11]
PmSmMn: relaxed, PBE.

Structure (extended XYZ):
```
6
Lattice="-2.209 3.007 -0.641 -1.510 -2.290 -5.545 -3.939 -4.345 4.370" Properties=species:S:1:pos:R:3 pbc="T T T"
Pm -5.605 -2.012 -1.305
Pm -2.053 -1.617 -0.511
Sm -4.598 -2.904 2.219
Sm -3.060 -0.724 -4.035
Mn -3.721 -0.088 1.230
Mn -3.936 -3.540 -3.046
```

Results
Polymorph energy (0 for the lowest one) = 0 meV/atom
Calculated formation energy = 0.14 eV/atom



[12]
Zr2CuBr: relaxed, PBE.

Structure (extended XYZ):
```
4
Lattice="3.568 0.000 0.000 0.000 5.085 0.000 0.000 0.000 4.400" Properties=species:S:1:pos:R:3 pbc="T T T"
Cu 0.000 2.542 2.200
Zr 0.000 0.000 0.000
Zr 1.784 2.542 0.000
Br 1.784 0.000 2.200
```

Results
Polymorph energy (0 for the lowest one) = 301 meV/atom



[13]
ReNiB2Ir: relaxed, PBE.

Structure (extended XYZ):
```
5
Lattice="-1.168 -1.850 -3.280 -3.535 -2.461 2.647 -2.566 2.905 -0.725" Properties=species:S:1:pos:R:3 pbc="T T T"
Ir 0.000 0.000 0.000
B -0.584 -0.925 -1.640
B -1.283 1.452 -0.363
Re -1.767 -1.231 1.324
Ni -3.634 -0.703 -0.679
```

Results
Calculated formation energy = 1.46 eV/atom



[14]
RbCe4Pd3S12: relaxed, PBE.

Structure (extended XYZ):
```
20
Lattice="8.609 0.000 0.000 -2.870 8.117 0.000 -2.870 -4.058 7.029" Properties=species:S:1:pos:R:3 pbc="T T T"
S -0.942 2.613 2.278
S -1.927 -0.778 5.905
S 4.797 4.837 1.124
S 3.812 1.445 4.751
S 2.778 1.982 1.124
S 2.961 -2.094 5.875
S -2.961 4.041 4.751
S 0.092 2.076 5.905
S 1.927 4.725 3.627
S -0.092 6.152 1.154
S 0.942 -0.666 3.402
S 5.831 0.017 2.278
Ce -1.435 -2.029 3.515
Ce 1.435 2.029 3.515
Ce 4.304 0.000 0.000
Ce -1.435 4.058 0.000
Pd -2.870 2.029 3.515
Pd 2.870 -2.029 3.515
Pd 2.870 4.058 0.000
Rb 0.000 0.000 0.000
```



[15]
TlInAu3: relaxed, PBE.

Structure (extended XYZ):
```
10
Lattice="6.173 0.219 0.000 -1.222 5.355 0.000 0.000 0.000 6.866" Properties=species:S:1:pos:R:3 pbc="T T T"
In 2.654 4.840 5.150
In 2.296 0.734 1.717
Au 5.794 1.808 1.717
Au 3.724 2.021 3.731
Au -0.843 3.766 5.150
Au 1.227 3.553 3.135
Au 3.724 2.021 6.568
Au 1.227 3.553 0.298
Tl 4.208 4.338 1.717
Tl 0.743 1.236 5.150
```

Results
Polymorph energy (0 for the lowest one) = 0 meV/atom
Calculated formation energy = -0.07 eV/atom



[16]
LiSm5In4: relaxed, PBE.

Structure (extended XYZ):
```
10
Lattice="3.685 0.000 0.000 0.000 3.685 0.000 0.000 0.000 20.472" Properties=species:S:1:pos:R:3 pbc="T T T"
In 0.000 0.000 8.147
In 0.000 0.000 12.325
In 0.000 0.000 3.949
In 0.000 0.000 16.522
Sm 1.842 1.842 18.487
Sm 1.842 1.842 14.397
Sm 1.842 1.842 6.075
Sm 1.842 1.842 10.236
Sm 1.842 1.842 1.985
Li 0.000 0.000 0.000
```

Results
Calculated formation energy = -0.38 eV/atom



[17]
SnSe6Br12: relaxed, PBE.

Structure (extended XYZ):
```
19
Lattice="9.200 3.379 0.476 0.597 9.782 0.476 2.515 3.379 8.862" Properties=species:S:1:pos:R:3 pbc="T T T"
Br 6.780 7.710 0.757
Br 3.846 11.814 7.154
Br 3.242 5.648 7.660
Br 6.740 4.367 6.440
Br 5.532 8.830 9.057
Br 8.466 4.726 2.660
Br 9.251 7.073 8.362
Br 5.572 12.173 3.374
Br 9.070 10.892 2.154
Br 1.951 8.706 5.135
Br 3.061 9.466 1.452
Br 10.361 7.833 4.679
Se 8.890 11.302 5.276
Se 3.529 6.471 2.325
Se 5.323 4.781 2.922
Se 6.989 11.758 6.892
Se 8.783 10.068 7.490
Se 3.423 5.237 4.538
Sn 0.000 0.000 0.000
```



[18]
PrPuCu10: relaxed, PBE.

Structure (extended XYZ):
```
12
Lattice="-1.287 3.834 0.503 -2.628 -0.304 -4.404 -7.080 -2.957 4.429" Properties=species:S:1:pos:R:3 pbc="T T T"
Cu -2.512 -0.653 -1.452
Cu -7.905 -0.522 0.264
Cu -1.957 1.765 -1.950
Cu -4.183 0.439 2.466
Cu -3.090 1.095 0.264
Cu -2.381 -0.995 1.490
Cu -4.699 -1.963 2.939
Cu -6.596 -0.370 2.457
Cu -7.195 -2.609 1.477
Cu -4.398 0.943 -1.929
Pu -4.854 -1.631 0.013
Pr 0.000 0.000 0.000
```

Results
Calculated formation energy = -0.08 eV/atom



[19]
LiInTeN2: relaxed, PBE.

Structure (extended XYZ):
```
5
Lattice="4.391 0.000 0.000 0.000 4.391 0.000 0.000 0.000 5.900" Properties=species:S:1:pos:R:3 pbc="T T T"
In 2.195 2.195 2.950
N 0.000 2.195 0.000
N 2.195 0.000 0.000
Te 0.000 0.000 2.950
Li 0.000 0.000 0.000
```

Results
Polymorph energy (0 for the lowest one) = 340 meV/atom



[20]
Ta8NbW2: relaxed, PBE.

Structure (extended XYZ):
```
11
Lattice="4.470 0.000 -1.287 -0.914 6.325 -3.172 -0.299 -0.634 7.366" Properties=species:S:1:pos:R:3 pbc="T T T"
W 0.130 4.870 0.450
W 3.128 0.820 2.457
Ta 3.407 3.401 3.427
Ta 2.534 2.584 0.393
Ta 1.932 4.514 -1.694
Ta 0.459 0.378 1.594
Ta -0.150 2.289 -0.520
Ta 2.798 5.312 1.313
Ta 0.724 3.106 2.514
Ta 1.325 1.176 4.601
Nb 2.235 0.000 -0.644
```

Results
Polymorph energy (0 for the lowest one) = 0 meV/atom
Calculated formation energy = -0.05 eV/atom



What did we get for theoretical density? Answer: 9739; 9794; 10707; 6210; 5864; 7339; 4769; 6291; 4822; 5925; 7163; 6780; 9691; 4564; 13211; 7276; 3398; 9134; 4049; 16160 kg/m³, in the order shown.
What did we get for DFT total energy? Answer: -6.828; -5.532; -2.981; -4.100; -4.095; -4.107; -1.636; -4.981; -3.306; -5.007; -6.072; -5.614; -6.633; -5.590; -3.060; -4.031; -2.483; -5.091; -3.451; -11.938 eV/atom, in the order shown.